Entry from Alexandria: BaSbP2 at its PBEsol-relaxed geometry (SCAN).

## Properties
SG: F-43m (216)
DFT total energy, eV/atom: -24.089
Uncorrected formation energy, meV/atom: 313
Total moment, μB per atom: 0.000

a b c (Å): 5.193 5.193 5.193
angles (deg): 60.00 60.00 60.00
Positions (direct):
P  0.750  0.750  0.750
P  0.000  0.000  0.000
Ba  0.500  0.500  0.500
Sb  0.250  0.250  0.250